1 | Compound: Nb2Pd2Au
Source: Alexandria via LeMat-Bulk
Functional: PBE-GGA
Structure: optimized geometry

a = 7.9422 Å, b = 7.9422 Å, c = 2.8272 Å
α = 90.00°, β = 90.00°, γ = 90.00°
Space group P4/mbm (No. 127)
Unique sites:
1 Nb 0.1198 0.3802 0.0000 [4 per cell]
2 Pd 0.1736 0.6736 0.5000 [4 per cell]
3 Au 0.0000 0.0000 0.0000 [2 per cell]

Summary:
Calculated volume = 17.833 A^3/atom

2 | Compound: Nb2Pd2Au
Source: Alexandria via LeMat-Bulk
Functional: PBE-GGA
Structure: optimized geometry

a = 7.8029 Å, b = 7.8029 Å, c = 2.8541 Å
α = 90.00°, β = 90.00°, γ = 90.00°
Space group P4/mbm (No. 127)
Unique sites:
1 Nb 0.1724 0.3276 0.0000 [4 per cell]
2 Pd 0.1241 0.6241 0.5000 [4 per cell]
3 Au 0.0000 0.0000 0.5000 [2 per cell]

Summary:
Calculated volume = 17.377 A^3/atom

Which of them is most stable? Easy: 2.

1 | Compound: Nb2Pd2Au
Source: Alexandria via LeMat-Bulk
Functional: PBE-GGA
Structure: optimized geometry

a = 4.3424 Å, b = 13.8463 Å, c = 2.7980 Å
α = 90.00°, β = 90.00°, γ = 90.00°
Space group Cmmm (No. 65)
Unique sites:
1 Nb 0.0000 0.1161 0.0000 [4 per cell]
2 Pd 0.0000 0.3040 0.5000 [4 per cell]
3 Au 0.0000 0.5000 0.5000 [2 per cell]

Summary:
Calculated volume = 16.824 A^3/atom

2 | Compound: Nb2Pd2Au
Source: Alexandria via LeMat-Bulk
Functional: PBE-GGA
Structure: optimized geometry

a = 3.6553 Å, b = 4.2246 Å, c = 6.3806 Å
α = 90.00°, β = 106.58°, γ = 90.00°
Space group P2/m (No. 10)
Unique sites:
1 Nb 0.1648 0.0000 0.3327 [2 per cell]
2 Pd 0.3325 0.5000 0.6650 [2 per cell]
3 Au 0.0000 0.5000 0.0000 [1 per cell]

Summary:
Calculated volume = 18.886 A^3/atom

Which of them is most stable? Easy: 1.

1 | Compound: NbPd2Au2
Source: Alexandria via LeMat-Bulk
Functional: PBE-GGA
Structure: optimized geometry

a = 6.9436 Å, b = 6.9436 Å, c = 3.6683 Å
α = 90.00°, β = 90.00°, γ = 90.00°
Space group P4/mbm (No. 127)
Unique sites:
1 Nb 0.0000 0.0000 0.0000 [2 per cell]
2 Pd 0.1383 0.3617 0.0000 [4 per cell]
3 Au 0.1618 0.6617 0.5000 [4 per cell]

Summary:
Calculated volume = 17.686 A^3/atom

2 | Compound: NbPd2Au2
Source: Alexandria via LeMat-Bulk
Functional: PBE-GGA
Structure: optimized geometry

a = 13.8297 Å, b = 4.7987 Å, c = 5.5373 Å
α = 90.00°, β = 109.70°, γ = 90.00°
Space group C2/c (No. 15)
Unique sites:
1 Nb 0.0000 0.0743 0.2500 [4 per cell]
2 Pd 0.0901 0.4184 0.6856 [8 per cell]
3 Au 0.1910 0.0809 0.1235 [8 per cell]

Summary:
Calculated volume = 17.299 A^3/atom

Which of them is most stable? Easy: 2.

1 | Compound: Nb2Pd3Au2
Source: Alexandria via LeMat-Bulk
Functional: PBE-GGA
Structure: optimized geometry

a = 3.9639 Å, b = 5.0608 Å, c = 6.4361 Å
α = 96.96°, β = 90.01°, γ = 112.97°
Space group P-1 (No. 2)
Unique sites:
1 Nb 0.1474 0.2951 0.4109 [2 per cell]
2 Pd 0.0000 0.0000 0.0000 [1 per cell]
3 Pd 0.2902 0.5806 0.8524 [2 per cell]
4 Au 0.4272 0.8535 0.2815 [2 per cell]

Summary:
Calculated volume = 16.834 A^3/atom

2 | Compound: Nb2Pd3Au2
Source: Alexandria via LeMat-Bulk
Functional: PBE-GGA
Structure: optimized geometry

a = 7.9552 Å, b = 7.9552 Å, c = 7.9552 Å
α = 90.00°, β = 90.00°, γ = 90.00°
Space group I2_13 (No. 199)
Unique sites:
1 Nb 0.1929 0.1929 0.1929 [8 per cell]
2 Pd 0.0000 0.2500 0.9189 [12 per cell]
3 Au 0.0955 0.4045 0.5955 [8 per cell]

Summary:
Calculated volume = 17.980 A^3/atom

Which of them is most stable? Easy: 1.

1 | Compound: NbPd5Au
Source: Alexandria via LeMat-Bulk
Functional: PBE-GGA
Structure: optimized geometry

a = 8.7184 Å, b = 9.8333 Å, c = 6.6429 Å
α = 90.00°, β = 110.59°, γ = 90.00°
Space group C2/c (No. 15)
Unique sites:
1 Nb 0.0000 0.0348 0.2500 [4 per cell]
2 Pd 0.0000 0.2854 0.2500 [4 per cell]
3 Pd 0.1081 0.1900 0.9574 [8 per cell]
4 Pd 0.2208 0.0809 0.6282 [8 per cell]
5 Au 0.0000 0.5000 0.0000 [4 per cell]

Summary:
Calculated volume = 19.041 A^3/atom

2 | Compound: NbPd5Au
Source: Alexandria via LeMat-Bulk
Functional: PBE-GGA
Structure: optimized geometry

a = 3.9610 Å, b = 3.9610 Å, c = 7.6548 Å
α = 90.00°, β = 90.00°, γ = 90.00°
Space group P4/mmm (No. 123)
Unique sites:
1 Nb 0.0000 0.0000 0.0000 [1 per cell]
2 Pd 0.0000 0.0000 0.5000 [1 per cell]
3 Pd 0.0000 0.5000 0.2257 [4 per cell]
4 Au 0.5000 0.5000 0.5000 [1 per cell]

Summary:
Calculated volume = 17.157 A^3/atom

Which of them is most stable? Easy: 2.

1 | Compound: NbPd8Au2
Source: Alexandria via LeMat-Bulk
Functional: PBE-GGA
Structure: optimized geometry

a = 10.0999 Å, b = 8.8119 Å, c = 4.8489 Å
α = 90.00°, β = 106.10°, γ = 90.00°
Space group C2/m (No. 12)
Unique sites:
1 Nb 0.0000 0.0000 0.0000 [2 per cell]
2 Pd 0.0728 0.5000 0.2930 [4 per cell]
3 Pd 0.0793 0.2451 0.8054 [8 per cell]
4 Pd 0.2282 0.5000 0.8891 [4 per cell]
5 Au 0.1527 0.0000 0.5409 [4 per cell]

Summary:
Calculated volume = 18.846 A^3/atom

2 | Compound: NbPd8Au2
Source: Alexandria via LeMat-Bulk
Functional: PBE-GGA
Structure: optimized geometry

a = 8.1630 Å, b = 10.9088 Å, c = 4.2320 Å
α = 90.00°, β = 90.00°, γ = 90.00°
Space group Cmmm (No. 65)
Unique sites:
1 Nb 0.0000 0.0000 0.0000 [2 per cell]
2 Pd 0.0000 0.2348 0.0000 [4 per cell]
3 Pd 0.1666 0.1286 0.5000 [8 per cell]
4 Pd 0.1750 0.5000 0.0000 [4 per cell]
5 Au 0.0000 0.3762 0.5000 [4 per cell]

Summary:
Calculated volume = 17.130 A^3/atom

Which of them is most stable? Easy: 2.

1 | Compound: Nb2PdAu2
Source: Alexandria via LeMat-Bulk
Functional: PBE-GGA
Structure: optimized geometry

a = 4.4137 Å, b = 14.0042 Å, c = 2.8058 Å
α = 90.00°, β = 90.00°, γ = 90.00°
Space group Cmmm (No. 65)
Unique sites:
1 Nb 0.0000 0.1019 0.0000 [4 per cell]
2 Pd 0.0000 0.5000 0.5000 [2 per cell]
3 Au 0.0000 0.3064 0.5000 [4 per cell]

Summary:
Calculated volume = 17.343 A^3/atom

2 | Compound: Nb2PdAu2
Source: Alexandria via LeMat-Bulk
Functional: PBE-GGA
Structure: optimized geometry

a = 8.0670 Å, b = 8.0670 Å, c = 2.8724 Å
α = 90.00°, β = 90.00°, γ = 90.00°
Space group P4/mbm (No. 127)
Unique sites:
1 Nb 0.1230 0.3770 0.0000 [4 per cell]
2 Pd 0.0000 0.0000 0.0000 [2 per cell]
3 Au 0.1717 0.6717 0.5000 [4 per cell]

Summary:
Calculated volume = 18.692 A^3/atom

Which of them is most stable? Easy: 1.

1 | Compound: Nb2Pd4Au3
Source: Alexandria via LeMat-Bulk
Functional: PBE-GGA
Structure: optimized geometry

a = 11.8221 Å, b = 10.3628 Å, c = 5.2555 Å
α = 90.00°, β = 103.88°, γ = 90.00°
Space group C2/c (No. 15)
Unique sites:
1 Nb 0.2137 0.0945 0.1067 [8 per cell]
2 Pd 0.0879 0.2931 0.9800 [8 per cell]
3 Pd 0.1699 0.1723 0.5854 [8 per cell]
4 Au 0.0000 0.0095 0.7500 [4 per cell]
5 Au 0.1064 0.4318 0.4463 [8 per cell]

Summary:
Calculated volume = 17.363 A^3/atom

2 | Compound: Nb2Pd4Au3
Source: Alexandria via LeMat-Bulk
Functional: PBE-GGA
Structure: optimized geometry

a = 8.9933 Å, b = 3.9919 Å, c = 8.6807 Å
α = 90.00°, β = 107.61°, γ = 90.00°
Space group C2/m (No. 12)
Unique sites:
1 Nb 0.1691 0.0000 0.2227 [4 per cell]
2 Pd 0.0008 0.5000 0.6769 [4 per cell]
3 Pd 0.1681 0.0000 0.8924 [4 per cell]
4 Au 0.0000 0.5000 0.0000 [2 per cell]
5 Au 0.1688 0.0000 0.5597 [4 per cell]

Summary:
Calculated volume = 16.502 A^3/atom

Which of them is most stable? Easy: 2.

1 | Compound: NbPd4Au2
Source: Alexandria via LeMat-Bulk
Functional: PBE-GGA
Structure: optimized geometry

a = 5.1447 Å, b = 8.8236 Å, c = 5.2594 Å
α = 90.00°, β = 90.18°, γ = 90.00°
Space group P2_1/c (No. 14)
Unique sites:
1 Nb 0.0000 0.0000 0.0000 [2 per cell]
2 Pd 0.1148 0.2500 0.2492 [4 per cell]
3 Pd 0.4317 0.6556 0.5007 [4 per cell]
4 Au 0.2536 0.5446 0.0007 [4 per cell]

Summary:
Calculated volume = 17.054 A^3/atom

2 | Compound: NbPd4Au2
Source: Alexandria via LeMat-Bulk
Functional: PBE-GGA
Structure: optimized geometry

a = 5.6706 Å, b = 6.3835 Å, c = 7.5270 Å
α = 114.99°, β = 100.29°, γ = 102.96°
Space group P1 (No. 1)
Unique sites:
1 Nb 0.0000 0.0000 0.0000 [1 per cell]
2 Nb 0.3685 0.8646 0.5727 [1 per cell]
3 Pd 0.0865 0.5939 0.7111 [1 per cell]
4 Pd 0.1542 0.1444 0.4243 [1 per cell]
5 Pd 0.5087 0.0059 0.9918 [1 per cell]
6 Pd 0.5884 0.5991 0.7126 [1 per cell]
7 Pd 0.6618 0.1549 0.4406 [1 per cell]
8 Pd 0.7357 0.7339 0.1356 [1 per cell]
9 Pd 0.8774 0.8753 0.5777 [1 per cell]
10 Pd 0.9535 0.4434 0.2859 [1 per cell]
11 Au 0.2414 0.7377 0.1473 [1 per cell]
12 Au 0.3004 0.2995 0.8539 [1 per cell]
13 Au 0.4513 0.4354 0.2899 [1 per cell]
14 Au 0.7999 0.2972 0.8609 [1 per cell]

Summary:
Calculated volume = 16.347 A^3/atom

Which of them is most stable? Easy: 2.

1 | Compound: TiNbPdAu
Source: Alexandria via LeMat-Bulk
Functional: PBE-GGA
Structure: optimized geometry

a = 6.4476 Å, b = 6.4476 Å, c = 6.4476 Å
α = 90.00°, β = 90.00°, γ = 90.00°
Space group F-43m (No. 216)
Unique sites:
1 Ti 0.0000 0.0000 0.0000 [4 per cell]
2 Nb 0.2500 0.2500 0.7500 [4 per cell]
3 Pd 0.0000 0.0000 0.5000 [4 per cell]
4 Au 0.2500 0.2500 0.2500 [4 per cell]

Summary:
Calculated volume = 16.752 A^3/atom

2 | Compound: TiNbPdAu
Source: Alexandria via LeMat-Bulk
Functional: PBE-GGA
Structure: optimized geometry

a = 3.3224 Å, b = 3.3224 Å, c = 6.1399 Å
α = 90.00°, β = 90.00°, γ = 90.00°
Space group P4mm (No. 99)
Unique sites:
1 Ti 0.0000 0.0000 0.0000 [1 per cell]
2 Nb 0.5000 0.5000 0.2739 [1 per cell]
3 Pd 0.0000 0.0000 0.5028 [1 per cell]
4 Au 0.5000 0.5000 0.7718 [1 per cell]

Summary:
Calculated volume = 16.944 A^3/atom

Which of them is most stable? Easy: 2.

1 | Compound: NbPtAu
Source: Alexandria via LeMat-Bulk
Functional: PBE-GGA
Structure: optimized geometry

a = 4.6000 Å, b = 4.6000 Å, c = 2.7795 Å
α = 90.00°, β = 90.00°, γ = 120.00°
Space group P-6m2 (No. 187)
Unique sites:
1 Nb 0.0000 0.0000 0.0000 [1 per cell]
2 Pt 0.6667 0.3333 0.5000 [1 per cell]
3 Au 0.3333 0.6667 0.5000 [1 per cell]

Summary:
Calculated volume = 16.978 A^3/atom

2 | Compound: NbPtAu
Source: Alexandria via LeMat-Bulk
Functional: PBE-GGA
Structure: optimized geometry

a = 9.3845 Å, b = 2.8416 Å, c = 7.8604 Å
α = 90.00°, β = 96.21°, γ = 90.00°
Space group C2/m (No. 12)
Unique sites:
1 Nb 0.1138 0.0000 0.2212 [4 per cell]
2 Pt 0.1264 0.5000 0.9170 [4 per cell]
3 Au 0.1402 0.0000 0.5912 [4 per cell]

Summary:
Calculated volume = 17.365 A^3/atom

Which of them is most stable? Easy: 1.